[1]
## Pm6Ho2Er3 (GGA-PBE)

Data for Pm6Ho2Er3 after structural relaxation.

The calculation puts the energy above the most stable polymorph in this dataset at 0 meV/atom. For the formation energy, the calculation gives 1.5 kJ per mole of atoms.

a b c (Å): 32.1064 32.1064 32.1064
angles (deg): 6.41 6.41 6.41
With the nearest neighbours (Å) after each atom.
Positions (direct):
Pm: 0.0904 0.0904 0.0904  3 Er 3.56, 3 Ho 3.57, 6 Pm 3.59
Pm: 0.1823 0.1823 0.1823  3 Ho 3.58, 9 Pm 3.59-3.65
Pm: 0.3635 0.3635 0.3635  6 Er 3.56, 6 Pm 3.59
Pm: 0.6365 0.6365 0.6365  6 Er 3.56, 6 Pm 3.59
Pm: 0.8177 0.8177 0.8177  3 Ho 3.58, 9 Pm 3.59-3.65
Pm: 0.9096 0.9096 0.9096  3 Er 3.56, 3 Ho 3.57, 6 Pm 3.59
Ho: 0.4540 0.4540 0.4540  6 Pm 3.57-3.58, 6 Ho 3.59
Ho: 0.5460 0.5460 0.5460  6 Pm 3.57-3.58, 6 Ho 3.59
Er: 0.0000 0.0000 0.0000  6 Pm 3.56, 6 Er 3.59
Er: 0.2731 0.2731 0.2731  6 Pm 3.56, 6 Er 3.59
Er: 0.7269 0.7269 0.7269  6 Pm 3.56, 6 Er 3.59

***

[2]
## ErSbPdAu (GGA-PBE)

Data for ErSbPdAu after structural relaxation.

The formation energy from raw total energies comes out at -692.5 meV per atom.

a b c (Å): 4.8943 4.8943 4.8943
angles (deg): 60.00 60.00 60.00
With the nearest neighbours (Å) after each atom.
Positions (direct):
Er: 0.0000 0.0000 0.0000  4 Pd 3.00, 4 Au 3.00
Sb: 0.5000 0.5000 0.5000  4 Pd 3.00, 4 Au 3.00
Pd: 0.7500 0.7500 0.7500  4 Sb 3.00, 4 Er 3.00
Au: 0.2500 0.2500 0.2500  4 Sb 3.00, 4 Er 3.00

***

[3]
## NdPaCl2 (GGA-PBE)

Data for NdPaCl2 after structural relaxation.

The formation energy from raw total energies comes out at -1016.4 meV per atom.

a b c (Å): 10.1324 10.1324 10.1324
angles (deg): 19.71 19.71 19.71
With the nearest neighbours (Å) after each atom.
Positions (direct):
Nd: 0.0000 0.0000 0.0000  2 Cl 2.93
Pa: 0.5000 0.5000 0.5000  6 Cl 2.86
Cl: 0.0982 0.0982 0.0982  3 Pa 2.86, 1 Nd 2.93
Cl: 0.9018 0.9018 0.9018  3 Pa 2.86, 1 Nd 2.93

***

[4]
## MnIn2Te4 (GGA-PBE)

Data for MnIn2Te4 after structural relaxation.

The formation energy from raw total energies comes out at -242.7 meV per atom.

a b c (Å): 28.6840 4.4439 7.2120
angles (deg): 90.00 90.00 90.00
With the nearest neighbours (Å) after each atom.
Positions (direct):
Mn: 0.1944 0.2500 0.1461  6 Te 2.91-3.02
Mn: 0.3056 0.7500 0.6461  6 Te 2.91-3.02
Mn: 0.6944 0.2500 0.3539  6 Te 2.91-3.02
Mn: 0.8056 0.7500 0.8539  6 Te 2.91-3.02
In: 0.0498 0.7500 0.9284  4 Te 2.83-2.90
In: 0.1534 0.7500 0.5363  4 Te 2.82-2.85
In: 0.3466 0.2500 0.0363  4 Te 2.82-2.85
In: 0.4502 0.2500 0.4284  4 Te 2.83-2.90
In: 0.5498 0.7500 0.5716  4 Te 2.83-2.90
In: 0.6534 0.7500 0.9637  4 Te 2.82-2.85
In: 0.8466 0.2500 0.4637  4 Te 2.82-2.85
In: 0.9502 0.2500 0.0716  4 Te 2.83-2.90
Te: 0.0061 0.2500 0.7383  3 In 2.89-2.90
Te: 0.1083 0.2500 0.3656  2 In 2.85, 1 Mn 2.93
Te: 0.1484 0.7500 0.9298  2 In 2.83-2.84, 2 Mn 3.02
Te: 0.2384 0.7500 0.3403  1 In 2.82, 3 Mn 2.91-2.93
Te: 0.2616 0.2500 0.8403  1 In 2.82, 3 Mn 2.91-2.93
Te: 0.3516 0.2500 0.4298  2 In 2.83-2.84, 2 Mn 3.02
Te: 0.3917 0.7500 0.8656  2 In 2.85, 1 Mn 2.93
Te: 0.4939 0.7500 0.2383  3 In 2.89-2.90
Te: 0.5061 0.2500 0.7617  3 In 2.89-2.90
Te: 0.6083 0.2500 0.1344  2 In 2.85, 1 Mn 2.93
Te: 0.6484 0.7500 0.5702  2 In 2.83-2.84, 2 Mn 3.02
Te: 0.7384 0.7500 0.1597  1 In 2.82, 3 Mn 2.91-2.93
Te: 0.7616 0.2500 0.6597  1 In 2.82, 3 Mn 2.91-2.93
Te: 0.8516 0.2500 0.0702  2 In 2.83-2.84, 2 Mn 3.02
Te: 0.8917 0.7500 0.6344  2 In 2.85, 1 Mn 2.93
Te: 0.9939 0.7500 0.2617  3 In 2.89-2.90

***

These records have theoretical density values of 7.9, 11.9, 7.2, 5.7 g cm⁻³, in the order they appear.